The following is a PBE+U calculation of crystalline Tc3WO at its relaxed geometry, from Alexandria.

Results
Fermi-level density of states, states/eV per cell: 2.14
Mass density, Mg/m³: 12.10
Excess energy over the best structure of this formula in the dataset, meV per atom: 0

a b c (Å): 4.077 4.077 4.077
angles (deg): 90.00 90.00 90.00
Space group Pm-3m (No. 221)
Asymmetric unit:
1 Tc 0.000 0.000 0.500 [3 per cell]
2 W 0.500 0.500 0.500 [1 per cell]
3 O 0.000 0.000 0.000 [1 per cell]